First-principles (PBE) data for a relaxed structure of GeSbS3, as listed in the Alexandria database.

Summary:
D(E_F): 1.76 states/eV/f.u.
Energy relative to the elements, uncorrected: -139 meV per atom
Polymorph energy (0 for the lowest one): 0 meV per atom

abc: 14.2078 3.6403 10.8542
angles: 90.00 90.00 90.00
Space group Pnma (No. 62)
Unique sites:
Ge1 0.2017 0.2500 0.1426 (multiplicity 4)
Sb1 0.0717 0.7500 0.3769 (multiplicity 4)
S1 0.0614 0.7500 0.6317 (multiplicity 4)
S2 0.0857 0.7500 0.1365 (multiplicity 4)
S3 0.2087 0.2500 0.3673 (multiplicity 4)